1.
Ho3TmRh (GGA-PBE, optimized geometry); formation energy from the elements = -0.208 eV/atom; distance to the lowest polymorph of the same formula = 0.199 eV/atom
1.0
5.367 0.000 0.000
0.000 5.367 0.000
0.000 0.000 5.367
Ho Rh Tm
3 1 1
Direct
0.000 0.500 0.000
0.500 0.000 0.000
0.000 0.000 0.500
0.000 0.000 0.000
0.500 0.500 0.500

***

2.
Dy2TeC (GGA-PBE, optimized geometry); ΔE_f (raw) = -0.866 eV per atom
1.0
-0.598 -3.495 1.451
3.139 1.968 0.976
-4.110 4.515 4.122
Dy Te C
2 1 1
Direct
0.542 0.271 0.813
0.458 0.729 0.187
0.000 0.500 0.500
0.000 0.000 0.000

***

3.
TaReIN2 (GGA-PBE, optimized geometry); ΔE_f (raw) = 1.316 eV per atom; distance to the lowest polymorph of the same formula = 0.000 eV/atom
1.0
-1.276 -3.776 -0.581
3.315 -1.398 1.811
-2.772 0.140 5.181
Re N I Ta
1 2 1 1
Direct
0.500 0.500 0.500
0.500 0.000 0.000
0.000 0.500 0.000
0.000 0.000 0.500
0.000 0.000 0.000

***

4.
PIrO (GGA-PBE, optimized geometry); ΔE_f (raw) = -0.355 eV per atom; distance to the lowest polymorph of the same formula = 0.668 eV/atom
1.0
-0.980 -3.544 3.952
-0.048 -4.012 -3.610
5.308 -0.691 0.697
P Ir O
4 4 4
Direct
0.000 0.000 0.000
0.500 0.500 0.000
0.500 0.000 0.500
0.000 0.500 0.500
0.750 0.750 0.250
0.250 0.250 0.250
0.750 0.250 0.750
0.250 0.750 0.750
0.500 0.000 0.000
0.000 0.000 0.500
0.000 0.500 0.000
0.500 0.500 0.500